Record 1
Here is crystalline Sc2ZnPt at its relaxed geometry from the Open Quantum Materials Database. Energies are from PBE-GGA.

The structure belongs to space group Imma (No. 74); the cell edges are 6.583, 6.708 and 6.584 Å and the angles 90.00°, 90.00° and 90.00°. The distinct sites, in fractional coordinates, are Sc at (0.250, 0.000, 0.250), Zn at (0.000, 0.250, 0.001) and Pt at (0.000, 0.250, 0.499).

The total magnetization comes out at 0.05 μB per cell. The calculation puts the formation energy at -0.8391 eV/atom. The calculation puts the total energy at -5.833 eV per atom.


Record 2
Here is crystalline PmMgZn2 at its relaxed geometry from the Open Quantum Materials Database. Energies are from PBE-GGA.

The structure belongs to space group I4/mmm (No. 139); the cell edges are 4.902, 4.902 and 6.909 Å and the angles 90.00°, 90.00° and 90.00°. The distinct sites, in fractional coordinates, are Pm at (0.000, 0.000, 0.000), Mg at (0.000, 0.000, 0.500) and Zn at (0.000, 0.500, 0.250).

The total magnetization comes out at 0.02 μB per cell. The calculation puts the total energy at -2.550 eV per atom.


Record 3
Here is crystalline TbSc2Mo2 at its relaxed geometry from the Open Quantum Materials Database. Energies are from PBE-GGA.

The structure belongs to space group I4/mmm (No. 139); the cell edges are 4.050, 4.050 and 12.566 Å and the angles 90.00°, 90.00° and 90.00°. The distinct sites, in fractional coordinates, are Tb at (0.000, 0.000, 0.000), Sc at (0.000, 0.000, 0.393) and Mo at (0.000, 0.500, 0.250).

The total magnetization comes out at 0.02 μB per cell. The calculation puts the formation energy at 0.5947 eV/atom. The calculation puts the total energy at -7.202 eV per atom.


Record 4
Here is crystalline Ho2TmS4 at its relaxed geometry from the Open Quantum Materials Database. Energies are from PBE-GGA.

The structure belongs to space group Fd-3m (No. 227, origin choice 2); the cell edges are 11.271, 11.271 and 11.271 Å and the angles 90.00°, 90.00° and 90.00°. The distinct sites, in fractional coordinates, are Ho at (0.000, 0.000, 0.000), Tm at (0.125, 0.125, 0.625) and S at (0.007, 0.007, 0.243).

The total magnetization comes out at 0.18 μB per cell. The calculation puts the total energy at -6.232 eV per atom.


Record 5
Here is crystalline TmHfSi2Pd4 at its relaxed geometry from the Open Quantum Materials Database. Energies are from PBE-GGA.

The structure belongs to space group Amm2 (No. 38); the cell edges are 7.031, 3.804 and 9.892 Å and the angles 90.00°, 90.00° and 90.00°. The distinct sites, in fractional coordinates, are Tm at (0.000, 0.000, 0.000), Hf at (0.500, 0.000, 0.108), Si at (0.000, 0.000, 0.284), Si at (0.500, 0.000, 0.825), Pd at (0.202, 0.000, 0.695) and Pd at (0.305, 0.000, 0.414).

The total magnetization comes out at 0.02 μB per cell. The calculation puts the total energy at -6.638 eV per atom.


Record 6
Here is crystalline La2TbAs2N6 at its relaxed geometry from the Open Quantum Materials Database. Energies are from PBE-GGA.

The structure belongs to space group I4/mmm (No. 139); the cell edges are 3.910, 3.910 and 19.521 Å and the angles 90.00°, 90.00° and 90.00°. The distinct sites, in fractional coordinates, are La at (0.000, 0.000, 0.179), Tb at (0.000, 0.000, 0.000), As at (0.000, 0.000, 0.399), N at (0.000, 0.000, 0.304) and N at (0.000, 0.500, 0.080).

The total magnetization comes out at 0.02 μB per cell. The calculation puts the total energy at -7.306 eV per atom.


Record 7
Here is crystalline NaTcPt at its relaxed geometry from the Open Quantum Materials Database. Energies are from PBE-GGA.

The structure belongs to space group F-43m (No. 216); the cell edges are 6.143, 6.143 and 6.143 Å and the angles 90.00°, 90.00° and 90.00°. The distinct sites, in fractional coordinates, are Na at (0.000, 0.000, 0.000), Tc at (0.250, 0.250, 0.250) and Pt at (0.250, 0.250, 0.750).

The total magnetization comes out at 13.84 μB per cell. The calculation puts the total energy at -4.513 eV per atom.


Record 8
Here is crystalline Tm2Zr2O5 at its relaxed geometry from the Open Quantum Materials Database. Energies are from PBE-GGA.

The structure belongs to space group P4/mmm (No. 123); the cell edges are 4.097, 4.097 and 7.398 Å and the angles 90.00°, 90.00° and 90.00°. The distinct sites, in fractional coordinates, are Tm at (0.000, 0.000, 0.000), Tm at (0.000, 0.000, 0.500), Zr at (0.500, 0.500, 0.218), O at (0.000, 0.500, 0.268) and O at (0.500, 0.500, 0.500).

The total magnetization comes out at 0.00 μB per cell. The calculation puts the total energy at -8.169 eV per atom.


Record 9
Here is crystalline LuZrCuSi at its relaxed geometry from the Open Quantum Materials Database. Energies are from PBE-GGA.

The structure belongs to space group F-43m (No. 216); the cell edges are 6.632, 6.632 and 6.632 Å and the angles 90.00°, 90.00° and 90.00°. The distinct sites, in fractional coordinates, are Lu at (0.000, 0.000, 0.000), Zr at (0.250, 0.250, 0.250), Cu at (0.250, 0.250, 0.750) and Si at (0.000, 0.000, 0.500).

The total magnetization comes out at 0.04 μB per cell. The calculation puts the total energy at -5.383 eV per atom.


Record 10
Here is crystalline LiMg2CuAu4 at its relaxed geometry from the Open Quantum Materials Database. Energies are from PBE-GGA.

The structure belongs to space group P4/mmm (No. 123); the cell edges are 4.457, 4.457 and 6.612 Å and the angles 90.00°, 90.00° and 90.00°. The distinct sites, in fractional coordinates, are Li at (0.000, 0.000, 0.000), Mg at (0.000, 0.000, 0.500), Mg at (0.500, 0.500, 0.000), Cu at (0.500, 0.500, 0.500) and Au at (0.000, 0.500, 0.251).

The calculation puts the total energy at -3.192 eV per atom.


Record 11
Here is crystalline Y3CoS6 at its relaxed geometry from the Open Quantum Materials Database. Energies are from PBE-GGA.

The structure belongs to space group P2_1/m (No. 11); the cell edges are 9.350, 3.805 and 12.108 Å and the angles 90.00°, 104.27° and 90.00°. The distinct sites, in fractional coordinates, are Y at (0.164, 0.250, 0.140), Y at (0.178, 0.750, 0.511), Y at (0.333, 0.250, 0.884), Co at (0.474, 0.250, 0.379), S at (0.032, 0.250, 0.375), S at (0.048, 0.250, 0.897), S at (0.311, 0.750, 0.317), S at (0.353, 0.750, 0.050), S at (0.364, 0.750, 0.735) and S at (0.403, 0.250, 0.538).

The total magnetization comes out at 0.00 μB per cell. The calculation puts the total energy at -6.639 eV per atom.


Record 12
Here is crystalline ZnFeAgW at its relaxed geometry from the Open Quantum Materials Database. Energies are from PBE-GGA.

The structure belongs to space group F-43m (No. 216); the cell edges are 6.179, 6.179 and 6.179 Å and the angles 90.00°, 90.00° and 90.00°. The distinct sites, in fractional coordinates, are Zn at (0.000, 0.000, 0.000), Fe at (0.250, 0.250, 0.250), Ag at (0.250, 0.250, 0.750) and W at (0.000, 0.000, 0.500).

The total magnetization comes out at 5.02 μB per cell. The calculation puts the formation energy at 0.5264 eV/atom. The calculation puts the total energy at -5.813 eV per atom.


Record 13
Here is crystalline LiCuTe2PtS at its relaxed geometry from the Open Quantum Materials Database. Energies are from PBE-GGA.

The structure belongs to space group Cmcm (No. 63); the cell edges are 3.952, 12.657 and 10.318 Å and the angles 90.00°, 90.00° and 90.00°. The distinct sites, in fractional coordinates, are Li at (0.000, 0.182, 0.250), Cu at (0.000, 0.046, 0.750), Te at (0.000, 0.145, 0.530), Pt at (0.000, 0.500, 0.000) and S at (0.000, 0.452, 0.750).

The total magnetization comes out at 0.00 μB per cell. The calculation puts the total energy at -4.010 eV per atom.


Record 14
Here is crystalline BeFeGe2 at its relaxed geometry from the Open Quantum Materials Database. Energies are from PBE-GGA.

The structure belongs to space group F-43m (No. 216); the cell edges are 6.051, 6.051 and 6.051 Å and the angles 90.00°, 90.00° and 90.00°. The distinct sites, in fractional coordinates, are Be at (0.000, 0.000, 0.000), Fe at (0.250, 0.250, 0.250), Ge at (0.000, 0.000, 0.500) and Ge at (0.250, 0.250, 0.750).

The total magnetization comes out at 7.43 μB per cell. The calculation puts the total energy at -4.782 eV per atom.


Record 15
Here is crystalline BaSi3Os at its relaxed geometry from the Open Quantum Materials Database. Energies are from PBE-GGA.

The structure belongs to space group I4mm (No. 107); the cell edges are 4.415, 4.415 and 10.161 Å and the angles 90.00°, 90.00° and 90.00°. The distinct sites, in fractional coordinates, are Ba at (0.000, 0.000, 0.000), Si at (0.000, 0.000, 0.589), Si at (0.000, 0.500, 0.245) and Os at (0.000, 0.000, 0.349).

The total magnetization comes out at 0.00 μB per cell. The calculation puts the total energy at -6.149 eV per atom.


Record 16
Here is crystalline GdHfCu2Sn2 at its relaxed geometry from the Open Quantum Materials Database. Energies are from PBE-GGA.

The structure belongs to space group P3m1 (No. 156); the cell edges are 4.4933, 4.4933 and 6.9283 Å and the angles 90.00°, 90.00° and 120.00°. The distinct sites, in fractional coordinates, are Gd at (0.0000, 0.0000, 0.0000), Hf at (0.0000, 0.0000, 0.4987), Cu at (0.3333, 0.6667, 0.3323), Cu at (0.6667, 0.3333, 0.7865), Sn at (0.3333, 0.6667, 0.7275) and Sn at (0.6667, 0.3333, 0.2516).

The total magnetization comes out at 0.00 μB per cell. The calculation puts the total energy at -5.438 eV per atom.


Record 17
Here is crystalline NbIn2Au2 at its relaxed geometry from the Open Quantum Materials Database. Energies are from PBE-GGA.

The structure belongs to space group I4/mmm (No. 139); the cell edges are 4.005, 4.005 and 12.896 Å and the angles 90.00°, 90.00° and 90.00°. The distinct sites, in fractional coordinates, are Nb at (0.000, 0.000, 0.000), In at (0.000, 0.000, 0.398) and Au at (0.000, 0.500, 0.250).

The total magnetization comes out at 0.70 μB per cell. The calculation puts the total energy at -4.117 eV per atom.


Record 18
Here is crystalline BaZnHgSe3 at its relaxed geometry from the Open Quantum Materials Database. Energies are from PBE-GGA.

The structure belongs to space group Cmcm (No. 63); the cell edges are 4.241, 14.002 and 11.207 Å and the angles 90.00°, 90.00° and 90.00°. The distinct sites, in fractional coordinates, are Ba at (0.000, 0.250, 0.250), Zn at (0.000, 0.035, 0.750), Hg at (0.000, 0.500, 0.000), Se at (0.000, 0.133, 0.566) and Se at (0.000, 0.432, 0.750).

The calculation puts the total energy at -3.193 eV per atom.


Record 19
Here is crystalline PmBePd at its relaxed geometry from the Open Quantum Materials Database. Energies are from PBE-GGA.

The structure belongs to space group F-43m (No. 216); the cell edges are 6.587, 6.587 and 6.587 Å and the angles 90.00°, 90.00° and 90.00°. The distinct sites, in fractional coordinates, are Pm at (0.000, 0.000, 0.000), Be at (0.250, 0.250, 0.750) and Pd at (0.250, 0.250, 0.250).

The total magnetization comes out at 0.01 μB per cell. The calculation puts the total energy at -4.115 eV per atom.


Record 20
Here is crystalline BeCdNO at its relaxed geometry from the Open Quantum Materials Database. Energies are from PBE-GGA.

The structure belongs to space group Pca2_1 (No. 29); the cell edges are 5.038, 7.103 and 4.613 Å and the angles 90.00°, 90.00° and 90.00°. The distinct sites, in fractional coordinates, are Be at (0.094, 0.084, 0.000), Cd at (0.025, 0.654, 0.037), N at (0.008, 0.675, 0.544) and O at (0.119, 0.051, 0.652).

The calculation puts the total energy at -5.202 eV per atom.


Record 21
Here is crystalline NbAlCoMo at its relaxed geometry from the Open Quantum Materials Database. Energies are from PBE-GGA.

The structure belongs to space group F-43m (No. 216); the cell edges are 6.163, 6.163 and 6.163 Å and the angles 90.00°, 90.00° and 90.00°. The distinct sites, in fractional coordinates, are Nb at (0.000, 0.000, 0.000), Al at (0.000, 0.000, 0.500), Co at (0.250, 0.250, 0.750) and Mo at (0.250, 0.250, 0.250).

The total magnetization comes out at 2.30 μB per cell. The calculation puts the total energy at -8.046 eV per atom.


Record 22
Here is crystalline KErCoTe3 at its relaxed geometry from the Open Quantum Materials Database. Energies are from PBE-GGA.

The structure belongs to space group Cmcm (No. 63); the cell edges are 4.239, 16.133 and 11.307 Å and the angles 90.00°, 90.00° and 90.00°. The distinct sites, in fractional coordinates, are K at (0.000, 0.249, 0.250), Er at (0.000, 0.500, 0.000), Co at (0.000, 0.027, 0.750), Te at (0.000, 0.125, 0.570) and Te at (0.000, 0.430, 0.750).

The total magnetization comes out at 10.37 μB per cell. The calculation puts the total energy at -4.525 eV per atom.


Record 23
Here is crystalline TbGd2Sn4Pb3 at its relaxed geometry from the Open Quantum Materials Database. Energies are from PBE-GGA.

The structure belongs to space group Cmmm (No. 65); the cell edges are 4.552, 25.859 and 4.699 Å and the angles 90.00°, 90.00° and 90.00°. The distinct sites, in fractional coordinates, are Tb at (0.000, 0.000, 0.000), Gd at (0.000, 0.189, 0.000), Sn at (0.000, 0.290, 0.500), Sn at (0.000, 0.403, 0.000), Pb at (0.000, 0.099, 0.500) and Pb at (0.000, 0.500, 0.500).

The total magnetization comes out at 0.01 μB per cell. The calculation puts the total energy at -4.577 eV per atom.


Record 24
Here is crystalline NbCuSi2 at its relaxed geometry from the Open Quantum Materials Database. Energies are from PBE-GGA.

The structure belongs to space group F-43m (No. 216); the cell edges are 6.168, 6.168 and 6.168 Å and the angles 90.00°, 90.00° and 90.00°. The distinct sites, in fractional coordinates, are Nb at (0.000, 0.000, 0.000), Cu at (0.250, 0.250, 0.250), Si at (0.000, 0.000, 0.500) and Si at (0.250, 0.250, 0.750).

The total magnetization comes out at 0.05 μB per cell. The calculation puts the total energy at -5.849 eV per atom.